ZnBiPdRh | PBE-GGA | optimized geometry

Lattice parameters (Å, degrees): 4.6156 4.6156 4.6156 60.00 60.00 60.00
With the nearest neighbours (Å) after each atom.
Positions (direct):
1 Zn 0.0000 0.0000 0.0000  4 Pd 2.83, 4 Rh 2.83
2 Pd 0.2500 0.2500 0.2500  4 Bi 2.83, 4 Zn 2.83
3 Bi 0.5000 0.5000 0.5000  4 Rh 2.83, 4 Pd 2.83
4 Rh 0.7500 0.7500 0.7500  4 Zn 2.83, 4 Bi 2.83

Properties
crystal system	cubic
space-group type	F-43m (216)
electronic total energy	-4.593	eV/atom
formation enthalpy at 0 K	-65	kJ/mol of formula units